Density functional theory data (GGA-PBE) for a relaxed Ca2BiAs2 crystal. Values from VASP.

Values from the calculation:
The calculation puts the energy above the lowest structure with this stoichiometry at 291 meV/atom. As for the space-group type: P4/mbm, No. 127. The calculation puts the formation energy from the elements at -49.5 kJ per mole of atoms.

The structure in Quantum ESPRESSO input format:
```
&SYSTEM
  ibrav = 0, nat = 10, ntyp = 3
/
ATOMIC_SPECIES
Ca 40.08 Ca.upf
Bi 208.98 Bi.upf
As 74.92 As.upf
ATOMIC_POSITIONS angstrom
Ca 1.1465 3.0939 0.0000
Ca 3.0939 7.3344 0.0000
Ca 5.3869 1.1465 0.0000
Ca 7.3344 5.3869 0.0000
Bi 0.0000 0.0000 0.0000
Bi 4.2404 4.2404 0.0000
As 1.4558 5.6962 1.8015
As 2.7846 1.4558 1.8015
As 5.6962 7.0251 1.8015
As 7.0251 2.7846 1.8015
CELL_PARAMETERS angstrom
8.4809 0.0000 0.0000
0.0000 8.4809 0.0000
0.0000 0.0000 3.6030
```